1.
4
Lattice="3.524 0.000 0.000 0.000 3.524 0.000 0.000 0.000 7.304" Properties=species:S:1:pos:R:3 comment="Gd2AgIr (PBE, relaxed)" total_magnetization_mub_per_fu=0.0 e_tot_ev_per_cell=-23.3 sg="No. 123" pbc="T T T"
Gd 0.000 0.000 1.657
Gd 0.000 0.000 5.646
Ag 1.762 1.762 3.652
Ir 1.762 1.762 0.000



2.
9
Lattice="3.800 0.000 0.000 0.000 6.583 3.801 0.000 -6.583 3.801" Properties=species:S:1:pos:R:3 comment="SmGd2Tl3Ni3 (PBE, relaxed)" total_magnetization_mub_per_fu=0.0 e_tot_ev_per_cell=-40.9 sg="No. 38" pbc="T T T"
Sm 0.000 0.000 0.000
Gd 0.000 -2.687 2.947
Gd 0.000 2.687 2.947
Tl 1.900 0.000 2.536
Tl 1.900 -1.720 5.478
Tl 1.900 1.720 5.478
Ni 0.000 0.000 4.496
Ni 1.900 -4.376 4.501
Ni 1.900 4.376 4.501



3.
8
Lattice="-2.965 2.965 6.144 2.965 -2.965 6.144 2.965 2.965 -6.144" Properties=species:S:1:pos:R:3 comment="Ho4Hf3Re (PBE, relaxed)" total_magnetization_mub_per_fu=0.0 e_tot_ev_per_cell=-51.5 sg="No. 139" pbc="T T T"
Ho 2.965 0.000 0.000
Ho 0.000 0.000 2.654
Ho 0.000 2.965 0.000
Ho 0.000 0.000 9.633
Hf 2.965 0.000 3.072
Hf 0.000 0.000 6.144
Hf 0.000 2.965 3.072
Re 0.000 0.000 0.000



4.
8
Lattice="3.095 0.000 0.000 -1.548 2.680 0.000 0.000 0.000 12.978" Properties=species:S:1:pos:R:3 comment="Ta2SiN (PBE, relaxed)" total_magnetization_mub_per_fu=0.0 relative_energy_mev_per_atom=21 e_tot_ev_per_cell=-79.4 sg="No. 194" pbc="T T T"
Ta 0.000 1.787 1.284
Ta 0.000 1.787 5.205
Ta 1.548 0.893 7.773
Ta 1.548 0.893 11.694
Si 0.000 1.787 9.734
Si 1.548 0.893 3.245
N 0.000 0.000 0.000
N 0.000 0.000 6.489



5.
4
Lattice="4.671 0.000 0.000 0.000 4.671 0.000 0.000 0.000 4.671" Properties=species:S:1:pos:R:3 comment="Er3Ga (PBE, relaxed)" total_magnetization_mub_per_fu=0.0 e_tot_ev_per_cell=-17.7 sg="No. 221" pbc="T T T"
Er 0.000 0.000 2.335
Er 0.000 2.335 0.000
Er 2.335 0.000 0.000
Ga 2.335 2.335 2.335



6.
4
Lattice="0.000 3.236 3.236 3.236 0.000 3.236 3.236 3.236 0.000" Properties=species:S:1:pos:R:3 comment="LuCuPt2 (PBE, relaxed)" total_magnetization_mub_per_fu=0.0 e_tot_ev_per_cell=-23.0 sg="No. 216" pbc="T T T"
Lu 0.000 0.000 0.000
Cu 4.855 4.855 4.855
Pt 1.618 1.618 1.618
Pt 3.236 3.236 3.236



7.
3
Lattice="0.000 3.043 3.043 3.043 0.000 3.043 3.043 3.043 0.000" Properties=species:S:1:pos:R:3 comment="KCoB (PBE, relaxed)" total_magnetization_mub_per_fu=0.0 relative_energy_mev_per_atom=47 e_tot_ev_per_cell=-9.4 sg="No. 216" pbc="T T T"
K 0.000 0.000 0.000
Co 3.043 3.043 3.043
B 1.521 1.521 1.521



8.
22
Lattice="4.066 2.347 7.059 -4.066 2.347 7.059 0.000 -4.695 7.059" Properties=species:S:1:pos:R:3 comment="SmAl7Au3 (PBE, relaxed)" total_magnetization_mub_per_fu=0.0 e_tot_ev_per_cell=-93.0 sg="No. 167" pbc="T T T"
Sm 0.000 0.000 0.000
Sm 0.000 0.000 10.588
Al -3.186 -0.970 11.223
Al -0.753 -3.244 9.953
Al -0.753 -1.451 7.694
Al 0.000 0.000 5.294
Al -2.433 2.274 9.953
Al -0.880 1.377 7.694
Al -1.633 -0.074 13.482
Al 1.633 0.074 7.694
Al 0.880 -1.377 13.482
Al 2.433 -2.274 11.223
Al 0.000 0.000 15.882
Al 0.753 1.451 13.482
Al 0.753 3.244 11.223
Al 3.186 0.970 9.953
Au -2.756 -0.079 8.823
Au -1.309 -2.427 12.353
Au 1.447 -2.347 8.823
Au -1.447 2.347 12.353
Au 1.309 2.427 8.823
Au 2.756 0.079 12.353



9.
24
Lattice="10.292 0.000 0.000 -5.146 8.913 0.000 0.000 0.000 6.018" Properties=species:S:1:pos:R:3 comment="Ho3CuSiSe7 (PBE, relaxed)" total_magnetization_mub_per_fu=0.0 e_tot_ev_per_cell=-125.8 sg="No. 173" pbc="T T T"
Ho -0.452 3.172 0.000
Ho -2.173 7.718 0.000
Ho 2.521 1.977 3.009
Ho 2.625 6.936 0.000
Ho 7.319 1.195 3.009
Ho 5.598 5.741 3.009
Cu 0.000 0.000 2.699
Cu 0.000 0.000 5.708
Si 0.000 5.942 3.547
Si 5.146 2.971 0.538
Se -1.953 5.151 4.488
Se -0.312 2.345 2.808
Se -2.959 8.011 2.808
Se 1.875 1.443 5.817
Se 0.000 5.942 1.273
Se 1.662 4.646 4.488
Se 0.291 8.029 4.488
Se 4.855 0.884 1.479
Se 3.484 4.267 1.479
Se 5.146 2.971 4.282
Se 3.271 7.470 2.808
Se 8.105 0.902 5.817
Se 5.458 6.568 5.817
Se 7.099 3.762 1.479



10.
3
Lattice="0.000 3.242 3.242 3.242 0.000 3.242 3.242 3.242 0.000" Properties=species:S:1:pos:R:3 comment="ErCdOs (PBE, relaxed)" total_magnetization_mub_per_fu=0.0 relative_energy_mev_per_atom=0 e_tot_ev_per_cell=-14.9 sg="No. 216" pbc="T T T"
Er 0.000 0.000 0.000
Cd 1.621 1.621 1.621
Os 3.242 3.242 3.242



11.
4
Lattice="0.000 3.000 3.000 3.000 0.000 3.000 3.000 3.000 0.000" Properties=species:S:1:pos:R:3 comment="LuBe2Ni (PBE, relaxed)" total_magnetization_mub_per_fu=0.0 e_tot_ev_per_cell=-17.5 sg="No. 216" pbc="T T T"
Lu 0.000 0.000 0.000
Be 1.500 1.500 1.500
Be 3.000 3.000 3.000
Ni 4.499 4.499 4.499



12.
3
Lattice="0.000 4.145 4.145 4.145 0.000 4.145 4.145 4.145 0.000" Properties=species:S:1:pos:R:3 comment="RbYTh (PBE, relaxed)" total_magnetization_mub_per_fu=2.2 relative_energy_mev_per_atom=0 e_tot_ev_per_cell=-10.4 sg="No. 216" pbc="T T T"
Rb 0.000 0.000 0.000
Y 2.072 2.072 2.072
Th 4.145 4.145 4.145